DFT (PBE) results for a relaxed structure of KNa3Al4Si4O16.

Computed properties:
Its formation energy from raw total energies is -2749 meV/atom. The value obtained for the density is 2.548 g/cm³. The calculation puts the energy relative to the lowest polymorph listed for this composition at 11 meV/atom. Its space-group type is P1.

Unit cell a=8.508 b=10.066 c=10.158 alpha=61.10 beta=89.65 gamma=89.71
Sites, in units of the cell vectors:
1 K 0.000 0.000 0.000
2 K 0.500 0.023 0.980
3 Na 0.483 0.993 0.421
4 Na 0.492 0.436 0.541
5 Na 0.498 0.563 0.965
6 Na 0.985 0.570 0.441
7 Na 0.995 0.443 0.985
8 Na 0.999 0.004 0.534
9 Al 0.182 0.901 0.323
10 Al 0.300 0.656 0.650
11 Al 0.301 0.242 0.086
12 Al 0.305 0.102 0.647
13 Al 0.793 0.905 0.323
14 Al 0.799 0.765 0.879
15 Al 0.802 0.350 0.320
16 Al 0.808 0.326 0.750
17 Si 0.174 0.331 0.749
18 Si 0.178 0.349 0.320
19 Si 0.180 0.761 0.885
20 Si 0.302 0.671 0.217
21 Si 0.665 0.674 0.213
22 Si 0.681 0.102 0.640
23 Si 0.681 0.243 0.089
24 Si 0.682 0.652 0.648
25 O 0.000 0.278 0.724
26 O 0.174 0.754 0.269
27 O 0.187 0.296 0.923
28 O 0.191 0.943 0.768
29 O 0.196 0.513 0.633
30 O 0.209 0.344 0.165
31 O 0.221 0.186 0.466
32 O 0.258 0.654 0.823
33 O 0.260 0.835 0.503
34 O 0.285 0.725 0.037
35 O 0.292 0.484 0.320
36 O 0.301 0.046 0.192
37 O 0.309 0.232 0.716
38 O 0.481 0.717 0.241
39 O 0.498 0.601 0.657
40 O 0.499 0.304 0.042
41 O 0.500 0.048 0.636
42 O 0.672 0.063 0.213
43 O 0.672 0.231 0.695
44 O 0.675 0.718 0.036
45 O 0.688 0.494 0.327
46 O 0.710 0.820 0.505
47 O 0.727 0.653 0.805
48 O 0.761 0.170 0.473
49 O 0.770 0.346 0.151
50 O 0.782 0.262 0.943
51 O 0.785 0.778 0.248
52 O 0.788 0.523 0.634
53 O 0.791 0.960 0.756
54 O 0.987 0.956 0.323
55 O 0.997 0.714 0.934
56 O 0.998 0.400 0.329

***

DFT (PBE) results for a relaxed structure of TbHfTi.

Computed properties:
The value obtained for the density is 8.285 g/cm³. For the formation enthalpy at 0 K, the calculation gives 0.3316 eV per atom. The calculation puts the energy relative to the lowest polymorph listed for this composition at 156 meV/atom. Its space-group type is R-3m.

Unit cell a=7.989 b=7.989 c=7.989 alpha=35.60 beta=35.60 gamma=35.60
Sites, in units of the cell vectors:
1 Tb 0.213 0.213 0.213
2 Tb 0.787 0.787 0.787
3 Hf 0.354 0.354 0.354
4 Hf 0.646 0.646 0.646
5 Ti 0.054 0.054 0.054
6 Ti 0.946 0.946 0.946

***

DFT (PBE) results for a relaxed structure of Cs12K5I2.

Computed properties:
Its formation energy from raw total energies is -276 meV/atom. The value obtained for the density is 1.856 g/cm³. Its space-group type is C2/m.

Unit cell a=15.276 b=15.276 c=12.500 alpha=110.37 beta=110.37 gamma=42.53
Sites, in units of the cell vectors:
1 Cs 0.004 0.004 0.256
2 Cs 0.091 0.616 0.322
3 Cs 0.096 0.612 0.854
4 Cs 0.384 0.909 0.678
5 Cs 0.388 0.904 0.146
6 Cs 0.458 0.458 0.633
7 Cs 0.542 0.542 0.367
8 Cs 0.612 0.096 0.854
9 Cs 0.616 0.091 0.322
10 Cs 0.904 0.388 0.146
11 Cs 0.909 0.384 0.678
12 Cs 0.996 0.996 0.744
13 K 0.254 0.254 0.006
14 K 0.254 0.254 0.500
15 K 0.500 0.500 0.000
16 K 0.746 0.746 0.500
17 K 0.746 0.746 0.994
18 I 0.225 0.775 0.500
19 I 0.775 0.225 0.500

***

no.,magnetic moment (μB per formula unit)
1,0.00
2,0.22
3,0.00